Computed, not measured: crystalline BeV2Co9 at its relaxed geometry at the PBE level of DFT.

## Properties
- raw total energy (eV/cell) = -87.3
- magnetic moment (μB per formula unit) = 8.34
- formation enthalpy at 0 K (kJ per mole of atoms) = -11
- V (A^3/atom) = 10.75
- SG = No. 123

Cell lengths 3.545, 3.545, 10.267 Å; angles 90.00, 90.00, 90.00 degrees
Last column: magnetic moment on the atom in μB.
Sites, in units of the cell vectors:
Be1 0.000 0.000 0.000  -0.06
V1 0.000 0.000 0.326  -0.76
V2 0.000 0.000 0.674  -0.76
Co1 0.500 0.500 0.000  1.65
Co2 0.500 0.500 0.329  0.97
Co3 0.500 0.500 0.671  0.97
Co4 0.500 0.000 0.157  1.19
Co5 0.500 0.000 0.500  0.90
Co6 0.500 0.000 0.843  1.19
Co7 0.000 0.500 0.157  1.19
Co8 0.000 0.500 0.500  0.90
Co9 0.000 0.500 0.843  1.19